No. 1
# Ti3PtN PBE-GGA optimized geometry
data_Ti3PtN
_chemical_formula_sum 'Ti6 Pt2 N2'
_cell_length_a 6.9418
_cell_length_b 6.9418
_cell_length_c 6.9418
_cell_angle_alpha 44.96
_cell_angle_beta 44.96
_cell_angle_gamma 44.96
_symmetry_space_group_name_H-M 'P 1'
_symmetry_Int_Tables_number 1
loop_
_symmetry_equiv_pos_as_xyz
'x,y,z'
loop_
_atom_site_label
_atom_site_type_symbol
_atom_site_fract_x
_atom_site_fract_y
_atom_site_fract_z
_atom_site_occupancy
N1 N 0.1586 0.1586 0.1586 1
N2 N 0.8414 0.8414 0.8414 1
Pt1 Pt 0.3388 0.3388 0.3388 1
Pt2 Pt 0.6612 0.6612 0.6612 1
Ti1 Ti 0.4539 0.0935 0.7733 1
Ti2 Ti 0.0935 0.7733 0.4539 1
Ti3 Ti 0.2267 0.5461 0.9065 1
Ti4 Ti 0.9065 0.2267 0.5461 1
Ti5 Ti 0.5461 0.9065 0.2267 1
Ti6 Ti 0.7733 0.4539 0.0935 1
# * ρ: 7.71 Mg/m³
# * E: -8.51 eV per atom
# * uncorrected formation energy: -896 meV/atom
# * total moment: 0.00 μB per formula unit

---

No. 2
# Tb2Nd2SmDy PBE-GGA optimized geometry
data_Tb2Nd2SmDy
_chemical_formula_sum 'Tb4 Nd4 Sm2 Dy2'
_cell_length_a 3.4081
_cell_length_b 6.6512
_cell_length_c 18.0652
_cell_angle_alpha 90.00
_cell_angle_beta 90.00
_cell_angle_gamma 90.00
_symmetry_space_group_name_H-M 'P 1'
_symmetry_Int_Tables_number 1
loop_
_symmetry_equiv_pos_as_xyz
'x,y,z'
loop_
_atom_site_label
_atom_site_type_symbol
_atom_site_fract_x
_atom_site_fract_y
_atom_site_fract_z
_atom_site_occupancy
Tb1 Tb 0.5000 0.7720 0.3536 1
Tb2 Tb 0.5000 0.2280 0.6464 1
Tb3 Tb 0.0000 0.7280 0.8536 1
Tb4 Tb 0.0000 0.2720 0.1464 1
Nd1 Nd 0.5000 0.2699 0.3151 1
Nd2 Nd 0.0000 0.7699 0.1849 1
Nd3 Nd 0.5000 0.7301 0.6849 1
Nd4 Nd 0.0000 0.2301 0.8151 1
Sm1 Sm 0.5000 0.5000 0.0000 1
Sm2 Sm 0.0000 0.0000 0.5000 1
Dy1 Dy 0.0000 0.0000 0.0000 1
Dy2 Dy 0.5000 0.5000 0.5000 1
# * ρ: 7.45 Mg/m³
# * ΔE_f: 0.258 eV per atom
# * E: -4.43 eV per atom
# * total moment: 0.00 μB per formula unit

---

No. 3
# PmAg2Hg4 PBE-GGA optimized geometry
data_PmAg2Hg4
_chemical_formula_sum 'Pm1 Ag2 Hg4'
_cell_length_a 4.8737
_cell_length_b 4.8737
_cell_length_c 7.2967
_cell_angle_alpha 90.00
_cell_angle_beta 90.00
_cell_angle_gamma 90.00
_symmetry_space_group_name_H-M 'P 1'
_symmetry_Int_Tables_number 1
loop_
_symmetry_equiv_pos_as_xyz
'x,y,z'
loop_
_atom_site_label
_atom_site_type_symbol
_atom_site_fract_x
_atom_site_fract_y
_atom_site_fract_z
_atom_site_occupancy
Hg1 Hg 0.5000 0.0000 0.2790 1
Hg2 Hg 0.0000 0.5000 0.7210 1
Hg3 Hg 0.5000 0.0000 0.7210 1
Hg4 Hg 0.0000 0.5000 0.2790 1
Ag1 Ag 0.0000 0.0000 0.0000 1
Ag2 Ag 0.5000 0.5000 0.5000 1
Pm1 Pm 0.5000 0.5000 0.0000 1
# * ρ: 11.14 Mg/m³
# * energy relative to the lowest polymorph listed for this composition: 0.00 kcal/mol of atoms
# * ΔE_f: -0.172 eV per atom
# * E: -1.84 eV per atom
# * total moment: 0.00 μB per formula unit

---

No. 4
# TlSnPb2Br PBE-GGA optimized geometry
data_TlSnPb2Br
_chemical_formula_sum 'Tl2 Sn2 Pb4 Br2'
_cell_length_a 4.0577
_cell_length_b 3.8689
_cell_length_c 21.0735
_cell_angle_alpha 90.00
_cell_angle_beta 90.77
_cell_angle_gamma 90.00
_symmetry_space_group_name_H-M 'P 1'
_symmetry_Int_Tables_number 1
loop_
_symmetry_equiv_pos_as_xyz
'x,y,z'
loop_
_atom_site_label
_atom_site_type_symbol
_atom_site_fract_x
_atom_site_fract_y
_atom_site_fract_z
_atom_site_occupancy
Pb1 Pb 0.7291 0.0000 0.0368 1
Pb2 Pb 0.7291 0.5000 0.5368 1
Pb3 Pb 0.7386 0.0000 0.1986 1
Pb4 Pb 0.7386 0.5000 0.6986 1
Tl1 Tl 0.2219 0.0000 0.4148 1
Tl2 Tl 0.2219 0.5000 0.9148 1
Sn1 Sn 0.2341 0.0000 0.6159 1
Sn2 Sn 0.2341 0.5000 0.1159 1
Br1 Br 0.7159 0.0000 0.8346 1
Br2 Br 0.7159 0.5000 0.3346 1
# * ρ: 8.21 Mg/m³
# * energy relative to the lowest polymorph listed for this composition: 0.02 kcal/mol of atoms
# * E: -3.31 eV per atom
# * uncorrected formation energy: -218 meV/atom
# * total moment: 0.00 μB per formula unit